40
Lattice="10.628 -4.240 0.000 10.628 4.240 0.000 -2.385 0.000 13.120" Properties=species:S:1:pos:R:3 comment="AlBi2Te2BrCl4, relaxed, DFT PBEsol" raw_formation_energy_mev_per_atom=-900 rho_g_cm3=5.18 magmom_total_mub_per_cell=0.00 total_energy_ev_per_atom=-3.86 pbc="T T T"
Al 4.520 1.068 2.285
Al 3.328 -1.068 8.845
Al 15.544 1.068 4.275
Al 14.352 -1.068 10.835
Bi 8.271 3.209 5.048
Bi 11.793 3.209 1.512
Bi 7.191 1.084 11.606
Bi 10.489 1.084 8.074
Bi 8.383 -1.084 5.046
Bi 11.682 -1.084 1.514
Bi 7.079 -3.209 11.608
Bi 10.601 -3.209 8.073
Te 8.990 3.164 0.539
Te 11.075 3.164 6.021
Te 7.693 1.047 7.024
Te 9.987 1.047 12.656
Te 8.885 -1.047 0.464
Te 11.179 -1.047 6.096
Te 7.797 -3.164 7.099
Te 9.883 -3.164 12.582
Br 8.840 3.181 9.840
Br 10.032 1.058 3.280
Br 8.840 -1.058 9.840
Br 10.032 -3.181 3.280
Cl 2.889 1.012 3.682
Cl 3.125 0.709 7.642
Cl 4.045 1.347 11.948
Cl 6.523 1.098 3.064
Cl 1.697 -1.012 10.242
Cl 4.317 -0.709 1.082
Cl 5.238 -1.347 5.388
Cl 5.331 -1.098 9.624
Cl 13.541 1.098 3.496
Cl 13.635 1.347 7.732
Cl 14.555 0.709 12.039
Cl 17.176 1.012 2.878
Cl 12.349 -1.098 10.056
Cl 14.827 -1.347 1.172
Cl 15.747 -0.709 5.478
Cl 15.984 -1.012 9.438